[1]
{
  "formula": "MnAl5Ru4",
  "functional": "GGA-PBE",
  "state": "relaxed",
  "total_energy_ev_per_cell": -70.87,
  "e_form_mev_per_atom": -588.4,
  "lattice_angstrom": [[-2.147, 1.791, -1.142], [-2.085, -2.088, 0.646], [-2.002, 6.145, 13.406]],
  "species": ["Al", "Mn", "Ru", "Ru", "Ru", "Al", "Al", "Ru", "Al", "Al"],
  "frac_coords": [[0.500, 0.500, 0.298], [0.000, 0.000, 0.000], [0.000, 0.000, 0.601], [0.000, 0.000, 0.195], [0.000, 0.000, 0.805], [0.500, 0.500, 0.702], [0.500, 0.500, 0.500], [0.000, 0.000, 0.399], [0.500, 0.500, 0.104], [0.500, 0.500, 0.896]]
}


[2]
{
  "formula": "LaMg2In",
  "functional": "GGA-PBE",
  "state": "relaxed",
  "total_energy_ev_per_cell": -11.54,
  "e_form_mev_per_atom": -172.3,
  "lattice_angstrom": [[5.135, 0.000, 0.000], [0.000, 3.393, -0.010], [0.000, 0.996, 6.256]],
  "species": ["In", "Mg", "Mg", "La"],
  "frac_coords": [[0.500, 0.250, 0.250], [0.000, 0.377, 0.484], [0.000, 0.123, 0.016], [0.500, 0.750, 0.750]]
}


[3]
{
  "formula": "TmCuPd",
  "functional": "GGA-PBE",
  "state": "relaxed",
  "total_energy_ev_per_cell": -30.72,
  "e_form_mev_per_atom": -533.0,
  "e_above_lowest_polymorph_ev_per_atom": 0.109,
  "lattice_angstrom": [[5.402, -0.687, -0.044], [-2.394, 4.891, -0.044], [-1.460, -2.041, 4.404]],
  "species": ["Cu", "Tm", "Cu", "Tm", "Pd", "Pd"],
  "frac_coords": [[0.002, 0.693, 0.696], [0.905, 0.095, 0.500], [0.307, 0.998, 0.304], [0.654, 0.346, 0.000], [0.239, 0.431, 0.170], [0.569, 0.761, 0.830]]
}


[4]
{
  "formula": "BaCr2Ag",
  "functional": "GGA-PBE",
  "state": "relaxed",
  "total_energy_ev_per_cell": -21.96,
  "e_form_mev_per_atom": 514.4,
  "e_above_lowest_polymorph_ev_per_atom": 0.000,
  "lattice_angstrom": [[-3.191, 0.855, -0.473], [-0.547, -0.224, 3.284], [1.938, 7.700, 0.849]],
  "species": ["Ag", "Ba", "Cr", "Cr"],
  "frac_coords": [[0.000, 0.000, 0.437], [0.500, 0.500, 0.757], [0.500, 0.500, 0.215], [0.000, 0.000, 0.091]]
}


[5]
{
  "formula": "KLa2BPd",
  "functional": "GGA-PBE",
  "state": "relaxed",
  "total_energy_ev_per_cell": -18.56,
  "e_form_mev_per_atom": 852.9,
  "lattice_angstrom": [[5.559, 0.000, 0.000], [0.000, 5.772, 0.000], [0.000, 0.000, 5.559]],
  "species": ["B", "K", "La", "Pd", "La"],
  "frac_coords": [[0.500, 0.500, 0.500], [0.000, 0.500, 0.000], [0.500, 0.000, 0.000], [0.000, 0.000, 0.000], [0.000, 0.000, 0.500]]
}


[6]
{
  "formula": "Pm5Rh2Pb2",
  "functional": "GGA-PBE",
  "state": "relaxed",
  "total_energy_ev_per_cell": -102.08,
  "e_form_mev_per_atom": -574.0,
  "lattice_angstrom": [[-1.154, -5.456, -4.753], [-5.371, -3.851, 5.725], [-3.500, 5.938, -5.967]],
  "species": ["Pm", "Pm", "Pb", "Pb", "Pb", "Pm", "Rh", "Rh", "Pm", "Pb", "Rh", "Pm", "Pm", "Pm", "Pm", "Pm", "Pm", "Rh"],
  "frac_coords": [[0.000, 0.000, 0.000], [0.645, 0.299, 0.238], [0.000, 0.213, 0.427], [0.500, 0.713, 0.427], [0.500, 0.287, 0.573], [0.145, 0.201, 0.762], [0.139, 0.623, 0.000], [0.861, 0.377, 0.000], [0.145, 0.439, 0.238], [0.000, 0.787, 0.573], [0.361, 0.123, 0.000], [0.355, 0.701, 0.762], [0.855, 0.799, 0.238], [0.645, 0.061, 0.762], [0.500, 0.500, 0.000], [0.855, 0.561, 0.762], [0.355, 0.939, 0.238], [0.639, 0.877, 0.000]]
}


[7]
{
  "formula": "BaIn3As",
  "functional": "GGA-PBE",
  "state": "relaxed",
  "total_energy_ev_per_cell": -9.46,
  "e_form_mev_per_atom": 1066.3,
  "e_above_lowest_polymorph_ev_per_atom": 1.069,
  "lattice_angstrom": [[6.313, 0.000, 0.000], [0.000, 6.313, 0.000], [0.000, 0.000, 6.313]],
  "species": ["In", "In", "Ba", "As", "In"],
  "frac_coords": [[0.000, 0.000, 0.500], [0.500, 0.000, 0.000], [0.000, 0.000, 0.000], [0.500, 0.500, 0.500], [0.000, 0.500, 0.000]]
}


[8]
{
  "formula": "Cs2DyAs2S6",
  "functional": "GGA-PBE",
  "state": "relaxed",
  "raw_formation_energy_ev_per_atom": -0.84,
  "total_energy_ev_per_cell": -49.56,
  "lattice_angstrom": [[-0.140, 1.068, 7.120], [-4.093, -5.121, -2.954], [8.379, -1.975, 0.461]],
  "species": ["S", "Dy", "S", "As", "S", "S", "Cs", "S", "Cs", "S", "As"],
  "frac_coords": [[0.287, 0.069, 0.766], [0.500, 0.000, 0.500], [0.218, 0.931, 0.234], [0.945, 0.890, 0.804], [0.713, 0.931, 0.234], [0.782, 0.069, 0.766], [0.710, 0.419, 0.188], [0.744, 0.487, 0.616], [0.290, 0.581, 0.812], [0.256, 0.513, 0.384], [0.055, 0.110, 0.196]]
}